Record 1
# NaPm2Nd

A relaxed structure of NaPm2Nd (GGA-PBE, the Alexandria database).

Lattice parameters (Å, degrees): 5.3175 5.0727 5.0727 90.00 90.00 90.00
Last column: nearest neighbours and their distance in Å.
Atoms (fractional coordinates):
Nd (0.5000, 0.0000, 0.0000)  4 Na 3.59, 8 Pm 3.67
Na (0.5000, 0.5000, 0.5000)  4 Nd 3.59, 8 Pm 3.67
Pm (0.0000, 0.5000, 0.0000)  4 Pm 3.59, 4 Na 3.67, 4 Nd 3.67
Pm (0.0000, 0.0000, 0.5000)  4 Pm 3.59, 4 Nd 3.67, 4 Na 3.67

Computed properties:
symmetry: No. 123
DOS(E_F): 7.4 states/eV per cell
energy relative to the elements: 258 meV per atom



Record 2
# AcAlP2S8

A relaxed structure of AcAlP2S8 (GGA-PBE, the Alexandria database).

Lattice parameters (Å, degrees): 5.8915 5.8915 8.5282 90.00 90.00 120.00
Last column: nearest neighbours and their distance in Å.
Atoms (fractional coordinates):
P (0.3333, 0.6667, 0.7431)  4 S 2.03-2.08
P (0.6667, 0.3333, 0.2569)  4 S 2.03-2.08
S (0.6667, 0.3333, 0.0186)  1 P 2.03
S (0.3122, 0.9973, 0.6838)  1 P 2.08
S (0.9973, 0.6852, 0.3162)  1 P 2.08
S (0.3148, 0.3122, 0.3162)  1 P 2.08
S (0.0027, 0.3148, 0.6838)  1 P 2.08
S (0.6852, 0.6878, 0.6838)  1 P 2.08
S (0.3333, 0.6667, 0.9814)  1 P 2.03
S (0.6878, 0.0027, 0.3162)  1 P 2.08
Al (0.0000, 0.0000, 0.5000)  6 S 2.42
Ac (0.0000, 0.0000, 0.0000)  12 S 3.27-3.41

Computed properties:
symmetry: No. 147
formation energy (no corrections): -0.784 eV/atom
DOS(E_F): 0.0 states/eV per cell



Record 3
# AlRu

A relaxed structure of AlRu (GGA-PBE, the Alexandria database).

Lattice parameters (Å, degrees): 6.9582 6.9582 4.4698 90.00 90.00 120.00
Last column: nearest neighbours and their distance in Å.
Atoms (fractional coordinates):
Al (0.7289, 0.7890, 0.7500)  5 Ru 2.56-2.59, 4 Al 2.82
Al (0.2110, 0.9399, 0.7500)  5 Ru 2.56-2.59, 4 Al 2.82
Al (0.2711, 0.2110, 0.2500)  5 Ru 2.56-2.59, 4 Al 2.82
Al (0.7890, 0.0601, 0.2500)  5 Ru 2.56-2.59, 4 Al 2.82
Al (0.0601, 0.2711, 0.7500)  5 Ru 2.56-2.59, 4 Al 2.82
Al (0.9399, 0.7289, 0.2500)  5 Ru 2.56-2.59, 4 Al 2.82
Ru (0.6366, 0.1049, 0.7500)  5 Al 2.56-2.59, 4 Ru 2.59-2.82
Ru (0.1049, 0.4683, 0.2500)  5 Al 2.56-2.59, 4 Ru 2.59-2.82
Ru (0.3634, 0.8951, 0.2500)  5 Al 2.56-2.59, 4 Ru 2.59-2.82
Ru (0.5317, 0.6366, 0.2500)  5 Al 2.56-2.59, 4 Ru 2.59-2.82
Ru (0.4683, 0.3634, 0.7500)  5 Al 2.56-2.59, 4 Ru 2.59-2.82
Ru (0.8951, 0.5317, 0.7500)  5 Al 2.56-2.59, 4 Ru 2.59-2.82

Computed properties:
symmetry: No. 176
DOS(E_F): 7.6 states/eV per cell
energy relative to the elements: -102 meV per atom



Record 4
# Pm4ErTh3

A relaxed structure of Pm4ErTh3 (GGA-PBE, the Alexandria database).

Lattice parameters (Å, degrees): 5.0771 10.2601 10.1708 90.00 90.00 90.00
Last column: nearest neighbours and their distance in Å.
Atoms (fractional coordinates):
Th (0.0644, 0.3805, 0.5000)  2 Er 3.53, 6 Th 3.54-3.58, 4 Pm 3.57-3.59
Th (0.5644, 0.6195, 0.0000)  2 Er 3.53, 6 Th 3.54-3.58, 4 Pm 3.57-3.59
Th (0.5644, 0.3812, 0.7479)  3 Er 3.51-3.61, 5 Th 3.52-3.58, 4 Pm 3.56-3.63
Th (0.0644, 0.6188, 0.7521)  3 Er 3.51-3.61, 5 Th 3.52-3.58, 4 Pm 3.56-3.63
Th (0.0644, 0.6188, 0.2479)  3 Er 3.51-3.61, 5 Th 3.52-3.58, 4 Pm 3.56-3.63
Th (0.5644, 0.3812, 0.2521)  3 Er 3.51-3.61, 5 Th 3.52-3.58, 4 Pm 3.56-3.63
Pm (0.5644, 0.8670, 0.2495)  8 Pm 3.59-3.76, 3 Th 3.59-3.60, 1 Er 3.60
Pm (0.5644, 0.1361, 0.5000)  4 Th 3.56-3.57, 8 Pm 3.59-3.76
Pm (0.0644, 0.1330, 0.2505)  8 Pm 3.59-3.76, 3 Th 3.59-3.60, 1 Er 3.60
Pm (0.5644, 0.1301, 0.0000)  8 Pm 3.60-3.73, 2 Er 3.62, 2 Th 3.63
Pm (0.0644, 0.1330, 0.7495)  8 Pm 3.59-3.76, 3 Th 3.59-3.60, 1 Er 3.60
Pm (0.0644, 0.8639, 0.0000)  4 Th 3.56-3.57, 8 Pm 3.59-3.76
Pm (0.5644, 0.8670, 0.7505)  8 Pm 3.59-3.76, 3 Th 3.59-3.60, 1 Er 3.60
Pm (0.0644, 0.8699, 0.5000)  8 Pm 3.60-3.73, 2 Er 3.62, 2 Th 3.63
Er (0.0644, 0.3811, 0.0000)  8 Th 3.51-3.61, 4 Pm 3.60-3.62
Er (0.5644, 0.6189, 0.5000)  8 Th 3.51-3.61, 4 Pm 3.60-3.62

Computed properties:
symmetry: No. 59
DOS(E_F): 22.9 states/eV per cell
energy relative to the elements: 32 meV per atom



Record 5
# ScCoSb2

A relaxed structure of ScCoSb2 (GGA-PBE, the Alexandria database).

Lattice parameters (Å, degrees): 4.9164 4.9164 4.9164 60.00 60.00 60.00
Last column: nearest neighbours and their distance in Å.
Atoms (fractional coordinates):
Co (0.5000, 0.5000, 0.5000)  4 Sb 3.01, 4 Sc 3.01
Sb (0.7500, 0.7500, 0.7500)  4 Co 3.01, 4 Sb 3.01
Sb (0.0000, 0.0000, 0.0000)  4 Sb 3.01, 4 Sc 3.01
Sc (0.2500, 0.2500, 0.2500)  4 Sb 3.01, 4 Co 3.01

Computed properties:
symmetry: No. 216
formation energy (no corrections): 0.117 eV/atom
DOS(E_F): 3.4 states/eV per cell



Record 6
# LaSmDy2Tl2

A relaxed structure of LaSmDy2Tl2 (GGA-PBE, the Alexandria database).

Lattice parameters (Å, degrees): 5.1830 6.8502 10.2550 90.00 90.00 90.00
Last column: nearest neighbours and their distance in Å.
Atoms (fractional coordinates):
Dy (0.5000, 0.0544, 0.0425)  5 Tl 3.24-3.54, 4 Dy 3.53
Dy (0.5000, 0.5544, 0.9575)  5 Tl 3.24-3.54, 4 Dy 3.53
Dy (0.0000, 0.8352, 0.8183)  4 Tl 3.17-3.24, 2 Dy 3.53
Dy (0.0000, 0.3352, 0.1817)  4 Tl 3.17-3.24, 2 Dy 3.53
Sm (0.5000, 0.1862, 0.6932)  4 Tl 3.24-3.47, 2 La 3.51
Sm (0.5000, 0.6862, 0.3068)  4 Tl 3.24-3.47, 2 La 3.51
Tl (0.0000, 0.7998, 0.1266)  6 Dy 3.17-3.54, 2 Sm 3.28, 1 La 3.53
Tl (0.0000, 0.2998, 0.8734)  6 Dy 3.17-3.54, 2 Sm 3.28, 1 La 3.53
Tl (0.5000, 0.7188, 0.6445)  2 Sm 3.24-3.47, 3 Dy 3.24-3.40, 4 La 3.34-3.60
Tl (0.5000, 0.2188, 0.3555)  2 Sm 3.24-3.47, 3 Dy 3.24-3.40, 4 La 3.34-3.60
La (0.0000, 0.9511, 0.4561)  5 Tl 3.34-3.60, 2 Sm 3.51, 2 La 3.54
La (0.0000, 0.4511, 0.5439)  5 Tl 3.34-3.60, 2 Sm 3.51, 2 La 3.54

Computed properties:
symmetry: No. 26
DOS(E_F): 13.3 states/eV per cell
energy relative to the elements: -271 meV per atom



Record 7
# Pr2GaRh

A relaxed structure of Pr2GaRh (GGA-PBE, the Alexandria database).

Lattice parameters (Å, degrees): 3.6994 3.6994 7.0868 90.00 90.00 90.00
Last column: nearest neighbours and their distance in Å.
Atoms (fractional coordinates):
Rh (0.5000, 0.5000, 0.0000)  8 Pr 3.11
Pr (0.0000, 0.0000, 0.7638)  4 Rh 3.11, 4 Ga 3.22, 1 Pr 3.35
Pr (0.0000, 0.0000, 0.2362)  4 Rh 3.11, 4 Ga 3.22, 1 Pr 3.35
Ga (0.5000, 0.5000, 0.5000)  8 Pr 3.22, 2 Rh 3.54

Computed properties:
symmetry: No. 123
DOS(E_F): 2.7 states/eV per cell
energy relative to the elements: -558 meV per atom



Record 8
# Tl3Ag2Br5Cl2

A relaxed structure of Tl3Ag2Br5Cl2 (GGA-PBE, the Alexandria database).

Lattice parameters (Å, degrees): 5.4357 5.4357 13.5128 101.60 101.60 90.00
Last column: nearest neighbours and their distance in Å.
Atoms (fractional coordinates):
Cl (0.2990, 0.2990, 0.5980)  1 Ag 2.53
Cl (0.7010, 0.7010, 0.4020)  1 Ag 2.53
Tl (0.0000, 0.0000, 0.0000)  12 Br 3.71-3.84
Tl (0.8177, 0.8177, 0.6354)  1 Cl 3.02
Tl (0.1823, 0.1823, 0.3646)  1 Cl 3.02
Ag (0.6033, 0.6033, 0.2066)  1 Cl 2.53, 5 Br 2.68-2.72
Ag (0.3967, 0.3967, 0.7934)  1 Cl 2.53, 5 Br 2.68-2.72
Br (0.4026, 0.9026, 0.8052)  2 Ag 2.72
Br (0.5974, 0.0974, 0.1948)  2 Ag 2.72
Br (0.5000, 0.5000, 0.0000)  2 Ag 2.68
Br (0.0974, 0.5974, 0.1948)  2 Ag 2.72
Br (0.9026, 0.4026, 0.8052)  2 Ag 2.72

Computed properties:
symmetry: No. 139
formation energy (no corrections): -0.578 eV/atom
DOS(E_F): 2.9 states/eV per cell



Number 1: E_tot -14.56 eV per cell. Number 2: E_tot -61.10 eV per cell. Number 3: E_tot -79.33 eV per cell. Number 4: E_tot -91.13 eV per cell. Number 5: E_tot -21.22 eV per cell. Number 6: E_tot -50.42 eV per cell. Number 7: E_tot -22.17 eV per cell. Number 8: E_tot -31.79 eV per cell.